Compound: SiAs2Ru
Source: the Alexandria database
Functional: PBE
Structure: optimized geometry

Lattice parameters (Å, degrees): 9.503 9.503 9.503 18.06 18.06 18.06
Fractional coordinates of all 4 atoms:
As 0.022 0.022 0.022
As 0.225 0.225 0.225
Ru 0.492 0.492 0.492
Si 0.761 0.761 0.761

Properties
ρ ... 6.44 g cm⁻³
E ... -6.0175 eV/atom
ΔE_f (raw) ... -0.018 eV per atom
Total magnetization ... 0.00 μB per formula unit

Compound: SmGd2Rh
Source: the Alexandria database
Functional: PBE
Structure: optimized geometry

Lattice parameters (Å, degrees): 3.807 3.807 9.728 78.71 78.71 60.00
Fractional coordinates of all 4 atoms:
Gd 0.274 0.274 0.179
Gd 0.726 0.726 0.821
Rh 0.000 0.000 0.000
Sm 0.500 0.500 0.500

Properties
ρ ... 7.93 g cm⁻³
E ... -10.3727 eV/atom
Energy above the most stable polymorph in this dataset ... 57.3 meV/atom
DFT formation energy ... -315 meV per atom
Total magnetization ... 14.16 μB per formula unit

Compound: KMn
Source: the Alexandria database
Functional: PBE
Structure: optimized geometry

Lattice parameters (Å, degrees): 6.521 17.153 10.147 90.00 90.00 90.00
Fractional coordinates of all 32 atoms:
K 0.000 0.000 0.666
K 0.000 0.000 0.334
K 0.250 0.750 0.584
K 0.250 0.750 0.916
K 0.000 0.500 0.166
K 0.000 0.500 0.834
K 0.250 0.250 0.084
K 0.250 0.250 0.416
K 0.500 0.000 0.166
K 0.500 0.000 0.834
K 0.750 0.750 0.084
K 0.750 0.750 0.416
K 0.500 0.500 0.666
K 0.500 0.500 0.334
K 0.750 0.250 0.584
K 0.750 0.250 0.916
Mn 0.000 0.078 0.000
Mn 0.000 0.922 0.000
Mn 0.250 0.672 0.250
Mn 0.250 0.828 0.250
Mn 0.000 0.578 0.500
Mn 0.000 0.422 0.500
Mn 0.250 0.172 0.750
Mn 0.250 0.328 0.750
Mn 0.500 0.078 0.500
Mn 0.500 0.922 0.500
Mn 0.750 0.672 0.750
Mn 0.750 0.828 0.750
Mn 0.500 0.578 0.000
Mn 0.500 0.422 0.000
Mn 0.750 0.172 0.250
Mn 0.750 0.328 0.250

Properties
ρ ... 2.20 g cm⁻³
E ... -4.0701 eV/atom
Energy above the most stable polymorph in this dataset ... 318.4 meV/atom
DFT formation energy ... 1063 meV per atom
Total magnetization ... 4.33 μB per formula unit

The highest E belongs to which entry?
KMn

Please write out number 3 again, unchanged.
Compound: KMn
Source: the Alexandria database
Functional: PBE
Structure: optimized geometry

Lattice parameters (Å, degrees): 6.521 17.153 10.147 90.00 90.00 90.00
Fractional coordinates of all 32 atoms:
K 0.000 0.000 0.666
K 0.000 0.000 0.334
K 0.250 0.750 0.584
K 0.250 0.750 0.916
K 0.000 0.500 0.166
K 0.000 0.500 0.834
K 0.250 0.250 0.084
K 0.250 0.250 0.416
K 0.500 0.000 0.166
K 0.500 0.000 0.834
K 0.750 0.750 0.084
K 0.750 0.750 0.416
K 0.500 0.500 0.666
K 0.500 0.500 0.334
K 0.750 0.250 0.584
K 0.750 0.250 0.916
Mn 0.000 0.078 0.000
Mn 0.000 0.922 0.000
Mn 0.250 0.672 0.250
Mn 0.250 0.828 0.250
Mn 0.000 0.578 0.500
Mn 0.000 0.422 0.500
Mn 0.250 0.172 0.750
Mn 0.250 0.328 0.750
Mn 0.500 0.078 0.500
Mn 0.500 0.922 0.500
Mn 0.750 0.672 0.750
Mn 0.750 0.828 0.750
Mn 0.500 0.578 0.000
Mn 0.500 0.422 0.000
Mn 0.750 0.172 0.250
Mn 0.750 0.328 0.250

Properties
ρ ... 2.20 g cm⁻³
E ... -4.0701 eV/atom
Energy above the most stable polymorph in this dataset ... 318.4 meV/atom
DFT formation energy ... 1063 meV per atom
Total magnetization ... 4.33 μB per formula unit